Record 1
The following is a PBE calculation of crystalline SrYTa2 at its relaxed geometry, from the Alexandria database.

a b c (Å): 3.7869 5.2199 10.6125
angles (deg): 90.00 90.00 90.00
Space group Cmm2 (No. 35)
Unique sites:
Sr (0.0000, 0.0000, 0.0000) [2 per cell]
Y (0.0000, 0.5000, 0.3269) [2 per cell]
Ta (0.0000, 0.0000, 0.5579) [2 per cell]
Ta (0.0000, 0.5000, 0.7354) [2 per cell]

## Properties
Energy above the most stable polymorph in this dataset, meV/atom: 213



Record 2
The following is a PBE calculation of crystalline SrYTa at its relaxed geometry, from the Alexandria database.

a b c (Å): 3.3428 4.4068 12.1772
angles (deg): 90.00 90.00 90.00
Space group Imm2 (No. 44)
Unique sites:
Sr (0.0000, 0.0000, 0.0000) [2 per cell]
Y (0.0000, 0.0000, 0.7107) [2 per cell]
Ta (0.0000, 0.0000, 0.3217) [2 per cell]

## Properties
Energy above the most stable polymorph in this dataset, meV/atom: 136



Record 3
The following is a PBE calculation of crystalline SrYTa2 at its relaxed geometry, from the Alexandria database.

a b c (Å): 7.3769 7.3769 7.3769
angles (deg): 90.00 90.00 90.00
Space group Fm-3m (No. 225)
Unique sites:
Sr (0.0000, 0.0000, 0.0000) [4 per cell]
Y (0.0000, 0.0000, 0.5000) [4 per cell]
Ta (0.2500, 0.2500, 0.2500) [8 per cell]

## Properties
Energy above the most stable polymorph in this dataset, meV/atom: 880



Record 4
The following is a PBE calculation of crystalline SrYTa at its relaxed geometry, from the Alexandria database.

a b c (Å): 7.5625 7.5625 7.5625
angles (deg): 90.00 90.00 90.00
Space group F-43m (No. 216)
Unique sites:
Sr (0.0000, 0.0000, 0.0000) [4 per cell]
Y (0.0000, 0.0000, 0.5000) [4 per cell]
Ta (0.2500, 0.2500, 0.2500) [4 per cell]

## Properties
Energy above the most stable polymorph in this dataset, meV/atom: 718



Record 5
The following is a PBE calculation of crystalline SrYTa2 at its relaxed geometry, from the Alexandria database.

a b c (Å): 3.3933 5.7704 10.9224
angles (deg): 90.00 90.00 90.00
Space group Imm2 (No. 44)
Unique sites:
Sr (0.0000, 0.0000, 0.0000) [2 per cell]
Y (0.0000, 0.5000, 0.2045) [2 per cell]
Ta (0.0000, 0.0000, 0.4486) [2 per cell]
Ta (0.0000, 0.5000, 0.7691) [2 per cell]

## Properties
Energy above the most stable polymorph in this dataset, meV/atom: 333



Record 6
The following is a PBE calculation of crystalline SrYTa2 at its relaxed geometry, from the Alexandria database.

a b c (Å): 7.2853 7.2853 7.2853
angles (deg): 90.00 90.00 90.00
Space group F-43m (No. 216)
Unique sites:
Sr (0.0000, 0.0000, 0.0000) [4 per cell]
Y (0.2500, 0.2500, 0.7500) [4 per cell]
Ta (0.0000, 0.0000, 0.5000) [4 per cell]
Ta (0.2500, 0.2500, 0.2500) [4 per cell]

## Properties
Energy above the most stable polymorph in this dataset, meV/atom: 506



Record 7
The following is a PBE calculation of crystalline SrYTa2 at its relaxed geometry, from the Alexandria database.

a b c (Å): 3.4195 3.4195 31.9156
angles (deg): 90.00 90.00 120.00
Space group R3m (No. 160, hexagonal axes)
Unique sites:
Sr (0.0000, 0.0000, 0.0000) [3 per cell]
Y (0.0000, 0.0000, 0.2243) [3 per cell]
Ta (0.0000, 0.0000, 0.4793) [3 per cell]
Ta (0.0000, 0.0000, 0.7546) [3 per cell]

## Properties
Energy above the most stable polymorph in this dataset, meV/atom: 294



Record 8
The following is a PBE calculation of crystalline SrYTa at its relaxed geometry, from the Alexandria database.

a b c (Å): 3.3751 3.3751 8.7984
angles (deg): 90.00 90.00 120.00
Space group P3m1 (No. 156)
Unique sites:
Sr (0.0000, 0.0000, 0.0000) [1 per cell]
Y (0.3333, 0.6667, 0.5949) [1 per cell]
Ta (0.6667, 0.3333, 0.3187) [1 per cell]

## Properties
Energy above the most stable polymorph in this dataset, meV/atom: 106



Record 9
The following is a PBE calculation of crystalline SrYTa at its relaxed geometry, from the Alexandria database.

a b c (Å): 5.5458 5.5458 3.0556
angles (deg): 90.00 90.00 120.00
Space group P-6m2 (No. 187)
Unique sites:
Sr (0.0000, 0.0000, 0.0000) [1 per cell]
Y (0.3333, 0.6667, 0.0000) [1 per cell]
Ta (0.6667, 0.3333, 0.5000) [1 per cell]

## Properties
Energy above the most stable polymorph in this dataset, meV/atom: 217



Record 10
The following is a PBE calculation of crystalline SrYTa2 at its relaxed geometry, from the Alexandria database.

a b c (Å): 6.0594 10.5251 3.0251
angles (deg): 90.00 90.16 90.00
Space group C2/m (No. 12)
Unique sites:
Sr (0.0000, 0.0000, 0.0000) [2 per cell]
Y (0.0000, 0.5000, 0.0000) [2 per cell]
Ta (0.2500, 0.2500, 0.5000) [4 per cell]

## Properties
Energy above the most stable polymorph in this dataset, meV/atom: 509



Record 11
The following is a PBE calculation of crystalline SrY2Ta2 at its relaxed geometry, from the Alexandria database.

a b c (Å): 9.2172 9.2172 3.2300
angles (deg): 90.00 90.00 90.00
Space group P4/mbm (No. 127)
Unique sites:
Sr (0.0000, 0.0000, 0.0000) [2 per cell]
Y (0.1836, 0.3164, 0.0000) [4 per cell]
Ta (0.1025, 0.6025, 0.5000) [4 per cell]

## Properties
Energy above the most stable polymorph in this dataset, meV/atom: 0



Record 12
The following is a PBE calculation of crystalline SrYTa2 at its relaxed geometry, from the Alexandria database.

a b c (Å): 3.6060 3.6060 8.7383
angles (deg): 90.00 90.00 90.00
Space group P4mm (No. 99)
Unique sites:
Sr (0.0000, 0.0000, 0.0000) [1 per cell]
Y (0.5000, 0.5000, 0.6268) [1 per cell]
Ta (0.0000, 0.0000, 0.3987) [1 per cell]
Ta (0.5000, 0.5000, 0.2758) [1 per cell]

## Properties
Energy above the most stable polymorph in this dataset, meV/atom: 0



| no. | uncorrected energy (Ry/atom) | size of the total moment (μB/f.u.) |
| --- | --- | --- |
| 1 | -0.54322 | 0.000 |
| 2 | -0.43622 | 0.000 |
| 3 | -0.49422 | 0.000 |
| 4 | -0.39340 | 3.549 |
| 5 | -0.53445 | 0.000 |
| 6 | -0.52173 | 0.000 |
| 7 | -0.53728 | 0.000 |
| 8 | -0.43839 | 0.000 |
| 9 | -0.43020 | 0.000 |
| 10 | -0.52151 | 0.000 |
| 11 | -0.52095 | 0.668 |
| 12 | -0.55891 | 0.000 |